Entry 1:
Entry from the Alexandria database: an optimized crystal structure of GaSi2Hg2 (PBE).

Summary:
- E_tot (eV/atom) = -2.49
- E_form (uncorrected) (meV per atom) = 409.9
- total magnetization (Bohr magnetons per cell) = 0.00

The structure in extended XYZ format:
```
5
Lattice="-2.274 2.274 5.425 2.274 -2.274 5.425 2.274 2.274 -5.425" Properties=species:S:1:pos:R:3 pbc="T T T"
Ga 0.000 0.000 0.000
Si 0.000 0.000 4.270
Si 0.000 0.000 6.581
Hg 2.274 0.000 2.713
Hg 0.000 2.274 2.713
```



Entry 2:
Entry from the Alexandria database: an optimized crystal structure of GaSi2Hg2 (PBE).

Summary:
- E_tot (eV/atom) = -2.64
- E_form (uncorrected) (meV per atom) = 252.2
- total magnetization (Bohr magnetons per cell) = 0.00

The structure in extended XYZ format:
```
10
Lattice="6.465 0.000 0.000 0.000 6.465 0.000 0.000 0.000 5.275" Properties=species:S:1:pos:R:3 pbc="T T T"
Ga 0.000 0.000 0.000
Ga 3.233 3.233 0.000
Si 0.846 2.387 0.000
Si 2.387 5.619 0.000
Si 4.079 0.846 0.000
Si 5.619 4.079 0.000
Hg 1.147 2.085 2.637
Hg 2.085 5.318 2.637
Hg 4.380 1.147 2.637
Hg 5.318 4.380 2.637
```



Entry 3:
Entry from the Alexandria database: an optimized crystal structure of Ga12Si3Hg5 (PBE).

Summary:
- E_tot (eV/atom) = -2.50
- E_form (uncorrected) (meV per atom) = 204.3
- total magnetization (Bohr magnetons per cell) = 0.00

The structure in extended XYZ format:
```
80
Lattice="-7.813 7.813 7.813 7.813 -7.813 7.813 7.813 7.813 -7.813" Properties=species:S:1:pos:R:3 pbc="T T T"
Ga 7.611 -1.343 2.386
Ga 11.923 -1.521 2.564
Ga 2.386 -0.203 1.343
Ga 9.334 5.250 -4.109
Ga 10.199 0.203 1.343
Ga 9.334 -2.564 4.109
Ga 1.343 2.386 -0.203
Ga 10.377 3.704 -1.521
Ga 5.250 4.109 -1.521
Ga 6.471 2.386 0.203
Ga -0.203 1.343 2.386
Ga 4.109 -1.521 5.250
Ga 7.611 6.471 -2.386
Ga 4.109 1.521 2.564
Ga 6.471 -2.386 7.611
Ga 5.250 -4.109 9.334
Ga 2.564 4.109 1.521
Ga 9.156 5.428 0.203
Ga 2.386 7.611 -1.343
Ga 9.334 2.564 3.704
Ga 1.521 2.564 4.109
Ga 2.386 0.203 6.471
Ga 4.109 9.334 -2.564
Ga 7.611 1.343 5.428
Ga 0.203 6.471 2.386
Ga 3.704 -1.521 10.377
Ga 5.428 7.611 1.343
Ga 6.292 5.250 3.704
Ga -1.521 5.250 4.109
Ga 5.428 0.203 9.156
Ga -1.343 2.386 7.611
Ga 5.250 3.704 6.292
Ga 2.564 11.923 -1.521
Ga 1.343 10.199 0.203
Ga 3.704 6.292 5.250
Ga 0.203 1.343 10.199
Ga 3.704 9.334 2.564
Ga 8.016 6.471 5.428
Ga 1.343 5.428 7.611
Ga 2.564 3.704 9.334
Ga -2.564 4.109 9.334
Ga 6.471 5.428 8.016
Ga -1.521 10.377 3.704
Ga -2.386 7.611 6.471
Ga -1.521 2.564 11.923
Ga 5.428 8.016 6.471
Ga -4.109 9.334 5.250
Ga 0.203 9.156 5.428
Si 3.907 1.953 0.000
Si 7.813 3.907 -1.953
Si 1.953 0.000 3.907
Si 9.767 0.000 3.907
Si 0.000 3.907 1.953
Si 3.907 -1.953 7.813
Si 3.907 9.767 0.000
Si 7.813 3.907 5.860
Si -1.953 7.813 3.907
Si 5.860 7.813 3.907
Si 0.000 3.907 9.767
Si 3.907 5.860 7.813
Hg 0.000 0.000 0.000
Hg 3.907 3.907 -3.907
Hg 3.907 -3.907 3.907
Hg 7.813 0.000 0.000
Hg 11.720 1.953 0.000
Hg 7.813 -3.907 5.860
Hg 5.860 7.813 -3.907
Hg 5.860 0.000 3.907
Hg 3.907 5.860 0.000
Hg 7.813 3.907 1.953
Hg -3.907 3.907 3.907
Hg 0.000 7.813 0.000
Hg 0.000 0.000 7.813
Hg 3.907 3.907 3.907
Hg 0.000 3.907 5.860
Hg 3.907 1.953 7.813
Hg 1.953 7.813 3.907
Hg 1.953 0.000 11.720
Hg 0.000 11.720 1.953
Hg -3.907 5.860 7.813
```



Entry 4:
Entry from the Alexandria database: an optimized crystal structure of Ga3SiHg (PBE).

Summary:
- E_tot (eV/atom) = -2.14
- E_form (uncorrected) (meV per atom) = 823.4
- total magnetization (Bohr magnetons per cell) = 0.00

The structure in extended XYZ format:
```
5
Lattice="5.137 0.000 0.000 0.000 5.137 0.000 0.000 0.000 5.137" Properties=species:S:1:pos:R:3 pbc="T T T"
Ga 0.000 0.000 2.568
Ga 0.000 2.568 0.000
Ga 2.568 0.000 0.000
Si 2.568 2.568 2.568
Hg 0.000 0.000 0.000
```



Entry 5:
Entry from the Alexandria database: an optimized crystal structure of Ga5Si3Hg12 (PBE).

Summary:
- E_tot (eV/atom) = -1.46
- E_form (uncorrected) (meV per atom) = 287.3
- total magnetization (Bohr magnetons per cell) = 0.00

The structure in extended XYZ format:
```
80
Lattice="-8.063 8.063 8.063 8.063 -8.063 8.063 8.063 8.063 -8.063" Properties=species:S:1:pos:R:3 pbc="T T T"
Ga 0.000 0.000 0.000
Ga 4.031 4.031 -4.031
Ga 4.031 -4.031 4.031
Ga 8.063 0.000 0.000
Ga 12.094 2.016 0.000
Ga 8.063 -4.031 6.047
Ga 6.047 8.063 -4.031
Ga 6.047 0.000 4.031
Ga 4.031 6.047 0.000
Ga 8.063 4.031 2.016
Ga -4.031 4.031 4.031
Ga 0.000 8.063 0.000
Ga 0.000 0.000 8.063
Ga 4.031 4.031 4.031
Ga 0.000 4.031 6.047
Ga 4.031 2.016 8.063
Ga 2.016 8.063 4.031
Ga 2.016 0.000 12.094
Ga 0.000 12.094 2.016
Ga -4.031 6.047 8.063
Si 4.031 2.016 0.000
Si 8.063 4.031 -2.016
Si 2.016 0.000 4.031
Si 10.078 0.000 4.031
Si 0.000 4.031 2.016
Si 4.031 -2.016 8.063
Si 4.031 10.078 0.000
Si 8.063 4.031 6.047
Si -2.016 8.063 4.031
Si 6.047 8.063 4.031
Si 0.000 4.031 10.078
Si 4.031 6.047 8.063
Hg 2.440 -0.378 1.370
Hg 9.654 5.401 -4.409
Hg 7.685 -1.370 2.440
Hg 12.472 -1.591 2.662
Hg 10.503 0.378 1.370
Hg 9.654 -2.662 4.409
Hg 1.370 2.440 -0.378
Hg 10.724 3.653 -1.591
Hg 5.401 4.409 -1.591
Hg 6.693 2.440 0.378
Hg -0.378 1.370 2.440
Hg 4.409 -1.591 5.401
Hg 7.685 6.693 -2.440
Hg 4.409 1.591 2.662
Hg 6.693 -2.440 7.685
Hg 5.401 -4.409 9.654
Hg 2.662 4.409 1.591
Hg 9.432 5.622 0.378
Hg 2.440 7.685 -1.370
Hg 9.654 2.662 3.653
Hg 4.409 9.654 -2.662
Hg 7.685 1.370 5.622
Hg 1.591 2.662 4.409
Hg 2.440 0.378 6.693
Hg 5.622 7.685 1.370
Hg 6.472 5.401 3.653
Hg 0.378 6.693 2.440
Hg 3.653 -1.591 10.724
Hg -1.591 5.401 4.409
Hg 5.622 0.378 9.432
Hg -1.370 2.440 7.685
Hg 5.401 3.653 6.472
Hg 2.662 12.472 -1.591
Hg 1.370 10.503 0.378
Hg 3.653 6.472 5.401
Hg 0.378 1.370 10.503
Hg 3.653 9.654 2.662
Hg 8.441 6.693 5.622
Hg 1.370 5.622 7.685
Hg 2.662 3.653 9.654
Hg -2.662 4.409 9.654
Hg 6.693 5.622 8.441
Hg -1.591 10.724 3.653
Hg -2.440 7.685 6.693
Hg -4.409 9.654 5.401
Hg 0.378 9.432 5.622
Hg -1.591 2.662 12.472
Hg 5.622 8.441 6.693
```



Entry 6:
Entry from the Alexandria database: an optimized crystal structure of Ga3SiHg (PBE).

Summary:
- E_tot (eV/atom) = -2.64
- E_form (uncorrected) (meV per atom) = 316.8
- total magnetization (Bohr magnetons per cell) = 0.00

The structure in extended XYZ format:
```
5
Lattice="4.897 0.000 0.000 0.000 4.897 0.000 0.000 0.000 4.897" Properties=species:S:1:pos:R:3 pbc="T T T"
Ga 0.000 0.000 2.449
Ga 0.000 2.449 0.000
Ga 2.449 0.000 0.000
Si 0.000 0.000 0.000
Hg 2.449 2.449 2.449
```



Entry 7:
Entry from the Alexandria database: an optimized crystal structure of Ta2GaSiHg (PBE).

Summary:
- E_tot (eV/atom) = -5.64
- E_form (uncorrected) (meV per atom) = 848.9
- total magnetization (Bohr magnetons per cell) = 0.00

The structure in extended XYZ format:
```
5
Lattice="4.748 0.000 0.000 0.000 4.748 0.000 0.000 0.000 4.537" Properties=species:S:1:pos:R:3 pbc="T T T"
Ta 0.000 2.374 0.000
Ta 2.374 0.000 0.000
Ga 0.000 0.000 2.269
Si 0.000 0.000 0.000
Hg 2.374 2.374 2.269
```



Entry 8:
Entry from the Alexandria database: an optimized crystal structure of Ga2SiTcHg (PBE).

Summary:
- E_tot (eV/atom) = -4.31
- E_form (uncorrected) (meV per atom) = 120.9
- total magnetization (Bohr magnetons per cell) = 0.00

The structure in extended XYZ format:
```
5
Lattice="4.932 0.000 0.000 0.000 4.932 0.000 0.000 0.000 4.644" Properties=species:S:1:pos:R:3 pbc="T T T"
Ga 0.000 2.466 0.000
Ga 2.466 0.000 0.000
Si 0.000 0.000 2.322
Tc 0.000 0.000 0.000
Hg 2.466 2.466 2.322
```



Entry 9:
Entry from the Alexandria database: an optimized crystal structure of GaSi2HgTe (PBE).

Summary:
- E_tot (eV/atom) = -2.62
- E_form (uncorrected) (meV per atom) = 839.4
- total magnetization (Bohr magnetons per cell) = 0.00

The structure in extended XYZ format:
```
5
Lattice="5.089 0.000 0.000 0.000 5.089 0.000 0.000 0.000 5.197" Properties=species:S:1:pos:R:3 pbc="T T T"
Ga 0.000 0.000 0.000
Si 0.000 2.544 2.599
Si 2.544 0.000 2.599
Hg 0.000 0.000 2.599
Te 2.544 2.544 0.000
```



Entry 10:
Entry from the Alexandria database: an optimized crystal structure of YGa2SiHg (PBE).

Summary:
- E_tot (eV/atom) = -3.17
- E_form (uncorrected) (meV per atom) = 476.4
- total magnetization (Bohr magnetons per cell) = 0.00

The structure in extended XYZ format:
```
5
Lattice="5.091 0.000 0.000 0.000 5.091 0.000 0.000 0.000 5.091" Properties=species:S:1:pos:R:3 pbc="T T T"
Y 0.000 0.000 0.000
Ga 0.000 2.545 2.545
Ga 2.545 0.000 2.545
Si 2.545 2.545 0.000
Hg 2.545 2.545 2.545
```



Entry 11:
Entry from the Alexandria database: an optimized crystal structure of Sm2Ga3Hg (PBE).

Summary:
- E_tot (eV/atom) = -3.70
- total magnetization (Bohr magnetons per cell) = 0.00

The structure in extended XYZ format:
```
6
Lattice="-2.028 2.228 7.768 2.028 -2.228 7.768 2.028 2.228 -7.768" Properties=species:S:1:pos:R:3 pbc="T T T"
Sm 0.000 0.000 0.000
Sm 0.000 2.228 4.289
Ga 2.028 0.000 2.883
Ga 2.028 0.000 5.353
Ga 0.000 0.000 6.691
Hg 0.000 0.000 9.306
```



Entry 12:
Entry from the Alexandria database: an optimized crystal structure of Sm7Ga2Hg2 (PBE).

Summary:
- E_tot (eV/atom) = -3.73
- total magnetization (Bohr magnetons per cell) = 0.00

The structure in extended XYZ format:
```
11
Lattice="3.828 -5.446 0.000 3.828 5.446 0.000 0.000 0.000 8.019" Properties=species:S:1:pos:R:3 pbc="T T T"
Sm 0.000 0.000 0.000
Sm 1.914 2.723 2.371
Sm 1.914 2.723 5.648
Sm 1.914 -2.723 2.371
Sm 1.914 -2.723 5.648
Sm 3.828 0.000 2.228
Sm 3.828 0.000 5.791
Ga 1.275 0.000 4.009
Ga 6.381 0.000 4.009
Hg 3.828 2.248 0.000
Hg 3.828 -2.248 0.000
```



Entry 13:
Entry from the Alexandria database: an optimized crystal structure of Sm2GaHg3 (PBE).

Summary:
- E_tot (eV/atom) = -2.57
- total magnetization (Bohr magnetons per cell) = 0.00

The structure in extended XYZ format:
```
6
Lattice="-2.062 2.195 8.745 2.062 -2.195 8.745 2.062 2.195 -8.745" Properties=species:S:1:pos:R:3 pbc="T T T"
Sm 0.000 0.000 0.000
Sm 0.000 2.195 3.829
Ga 0.000 0.000 9.941
Hg 2.062 0.000 2.590
Hg 2.062 0.000 5.413
Hg 0.000 0.000 7.287
```



Entry 14:
Entry from the Alexandria database: an optimized crystal structure of Sm3GaHg2 (PBE).

Summary:
- E_tot (eV/atom) = -3.46
- total magnetization (Bohr magnetons per cell) = 0.52

The structure in extended XYZ format:
```
6
Lattice="3.725 0.000 0.000 0.000 3.725 0.000 0.000 0.000 11.390" Properties=species:S:1:pos:R:3 pbc="T T T"
Sm 0.000 0.000 0.000
Sm 0.000 0.000 3.924
Sm 0.000 0.000 7.466
Ga 1.862 1.862 5.695
Hg 1.862 1.862 1.953
Hg 1.862 1.862 9.436
```



Entry 15:
Entry from the Alexandria database: an optimized crystal structure of Sm6GaHg (PBE).

Summary:
- E_tot (eV/atom) = -4.19
- total magnetization (Bohr magnetons per cell) = 0.00

The structure in extended XYZ format:
```
8
Lattice="-2.585 2.585 8.977 2.585 -2.585 8.977 2.585 2.585 -8.977" Properties=species:S:1:pos:R:3 pbc="T T T"
Sm 2.585 0.000 1.930
Sm 0.000 0.000 4.478
Sm 2.585 0.000 7.047
Sm 0.000 2.585 1.930
Sm 0.000 0.000 13.476
Sm 0.000 2.585 7.047
Ga 0.000 0.000 0.000
Hg 0.000 0.000 8.977
```



Entry 16:
Entry from the Alexandria database: an optimized crystal structure of SmGaHg2 (PBE).

Summary:
- E_tot (eV/atom) = -2.46
- total magnetization (Bohr magnetons per cell) = 0.00

The structure in extended XYZ format:
```
4
Lattice="4.426 0.000 0.000 0.000 4.426 0.000 0.000 0.000 4.858" Properties=species:S:1:pos:R:3 pbc="T T T"
Sm 0.000 0.000 0.000
Ga 2.213 2.213 0.000
Hg 0.000 2.213 2.429
Hg 2.213 0.000 2.429
```



Entry 17:
Entry from the Alexandria database: an optimized crystal structure of Sm5Ga2Hg (PBE).

Summary:
- E_tot (eV/atom) = -4.06
- total magnetization (Bohr magnetons per cell) = 0.00

The structure in extended XYZ format:
```
8
Lattice="-3.488 3.488 4.384 3.488 -3.488 4.384 3.488 3.488 -4.384" Properties=species:S:1:pos:R:3 pbc="T T T"
Sm 0.000 0.000 0.000
Sm 1.744 1.744 -2.192
Sm 1.744 -1.744 2.192
Sm -1.744 1.744 2.192
Sm 1.744 1.744 2.192
Ga 3.488 0.000 0.000
Ga 0.000 3.488 0.000
Hg 0.000 0.000 4.384
```



Entry 18:
Entry from the Alexandria database: an optimized crystal structure of Sm4Ga3Hg (PBE).

Summary:
- E_tot (eV/atom) = -4.07
- total magnetization (Bohr magnetons per cell) = 0.00

The structure in extended XYZ format:
```
8
Lattice="4.290 0.000 0.000 0.000 4.356 0.000 0.000 0.000 11.306" Properties=species:S:1:pos:R:3 pbc="T T T"
Sm 0.000 0.000 0.000
Sm 0.000 2.178 5.532
Sm 2.145 0.000 8.020
Sm 2.145 2.178 2.438
Ga 0.000 0.000 3.197
Ga 2.145 0.000 4.821
Ga 2.145 2.178 10.642
Hg 0.000 2.178 8.773
```



Entry 19:
Entry from the Alexandria database: an optimized crystal structure of Sm5Ga4Hg (PBE).

Summary:
- E_tot (eV/atom) = -4.15
- total magnetization (Bohr magnetons per cell) = 0.00

The structure in extended XYZ format:
```
10
Lattice="3.658 0.000 0.000 0.000 3.658 0.000 0.000 0.000 18.610" Properties=species:S:1:pos:R:3 pbc="T T T"
Sm 0.000 0.000 0.000
Sm 0.000 0.000 3.628
Sm 0.000 0.000 7.269
Sm 0.000 0.000 11.341
Sm 0.000 0.000 14.982
Ga 1.829 1.829 1.812
Ga 1.829 1.829 5.486
Ga 1.829 1.829 13.124
Ga 1.829 1.829 16.799
Hg 1.829 1.829 9.305
```